TbSnPb2S5 | GGA-PBE | optimized geometry

DOS at the Fermi energy   4.9 states/eV per cell
Space group   No. 36
Uncorrected energy   -4.92 eV/atom
Total magnetic moment   0.0 μB per cell
ΔE_f (raw)   -844 meV/atom

a = 4.1162 Å, b = 8.9510 Å, c = 13.0830 Å
α = 90.00°, β = 90.00°, γ = 103.29°
Fractional positions:
Pb (0.1316, 0.2632, 0.2856)
Pb (0.1158, 0.2315, 0.6686)
Pb (0.8842, 0.7685, 0.1686)
Pb (0.8684, 0.7368, 0.7856)
S (0.3181, 0.6363, 0.3832)
S (0.6271, 0.2543, 0.5175)
S (0.2781, 0.5563, 0.6603)
S (0.7219, 0.4437, 0.1603)
S (0.4847, 0.9694, 0.7703)
S (0.0588, 0.1175, 0.0708)
S (0.6819, 0.3637, 0.8832)
S (0.3729, 0.7457, 0.0175)
S (0.5153, 0.0306, 0.2703)
S (0.9412, 0.8825, 0.5708)
Sn (0.4618, 0.9236, 0.4514)
Sn (0.5382, 0.0764, 0.9514)
Tb (0.2179, 0.4358, 0.0163)
Tb (0.7821, 0.5642, 0.5163)